## Pu2TlIn (PBE)

Data for a geometry-optimized Pu2TlIn structure.

Computed properties:
The relative energy among the computed polymorphs is 0.284 eV per atom.

Cell lengths 10.946, 10.946, 10.946 Å; angles 17.66, 17.66, 17.66 degrees
Atoms (fractional coordinates):
Pu 0.000 0.000 0.000
Pu 0.078 0.078 0.078
Tl 0.245 0.245 0.245
In 0.496 0.496 0.496

## PuTl4In15 (PBE)

Data for a geometry-optimized PuTl4In15 structure.

Computed properties:
The final energy is -64.8 eV/f.u.

Cell lengths 4.600, 4.600, 26.028 Å; angles 90.00, 90.00, 90.00 degrees
Atoms (fractional coordinates):
Pu 0.000 0.000 0.000
Tl 0.000 0.000 0.191
Tl 0.000 0.000 0.396
Tl 0.000 0.000 0.604
Tl 0.000 0.000 0.809
In 0.000 0.500 0.093
In 0.000 0.500 0.296
In 0.000 0.500 0.500
In 0.000 0.500 0.704
In 0.000 0.500 0.907
In 0.500 0.000 0.093
In 0.500 0.000 0.296
In 0.500 0.000 0.500
In 0.500 0.000 0.704
In 0.500 0.000 0.907
In 0.500 0.500 0.000
In 0.500 0.500 0.192
In 0.500 0.500 0.399
In 0.500 0.500 0.601
In 0.500 0.500 0.808

## Pu2TlIn (PBE)

Data for a geometry-optimized Pu2TlIn structure.

Computed properties:
The relative energy among the computed polymorphs is 0.001 eV per atom.

Cell lengths 4.589, 4.589, 4.927 Å; angles 90.00, 90.00, 90.00 degrees
Atoms (fractional coordinates):
Pu 0.000 0.500 0.000
Pu 0.500 0.000 0.000
Tl 0.000 0.000 0.500
In 0.500 0.500 0.500

## Pu4TlIn15 (PBE)

Data for a geometry-optimized Pu4TlIn15 structure.

Computed properties:
The final energy is -103.9 eV/f.u.

Cell lengths 4.653, 4.653, 23.848 Å; angles 90.00, 90.00, 90.00 degrees
Atoms (fractional coordinates):
Pu 0.000 0.000 0.098
Pu 0.000 0.000 0.294
Pu 0.000 0.000 0.706
Pu 0.000 0.000 0.902
Tl 0.000 0.000 0.500
In 0.000 0.500 0.000
In 0.000 0.500 0.195
In 0.000 0.500 0.392
In 0.000 0.500 0.608
In 0.000 0.500 0.805
In 0.500 0.000 0.000
In 0.500 0.000 0.195
In 0.500 0.000 0.392
In 0.500 0.000 0.608
In 0.500 0.000 0.805
In 0.500 0.500 0.098
In 0.500 0.500 0.292
In 0.500 0.500 0.500
In 0.500 0.500 0.708
In 0.500 0.500 0.902

## Pu2TlIn (PBE)

Data for a geometry-optimized Pu2TlIn structure.

Computed properties:
The relative energy among the computed polymorphs is 0.082 eV per atom.

Cell lengths 5.387, 5.387, 5.387 Å; angles 60.00, 60.00, 60.00 degrees
Atoms (fractional coordinates):
Pu 0.250 0.250 0.250
Pu 0.750 0.750 0.750
Tl 0.000 0.000 0.000
In 0.500 0.500 0.500

## Pu2TlIn (PBE)

Data for a geometry-optimized Pu2TlIn structure.

Computed properties:
The relative energy among the computed polymorphs is 0.136 eV per atom.

Cell lengths 11.266, 11.266, 11.266 Å; angles 17.15, 17.15, 17.15 degrees
Atoms (fractional coordinates):
Pu 0.249 0.249 0.249
Pu 0.751 0.751 0.751
Tl 0.000 0.000 0.000
In 0.500 0.500 0.500

## PuTl6In (PBE)

Data for a geometry-optimized PuTl6In structure.

Computed properties:
The final energy is -31.0 eV/f.u.

Cell lengths 7.104, 7.104, 4.563 Å; angles 90.00, 90.00, 90.08 degrees
Atoms (fractional coordinates):
Pu 0.000 0.000 0.000
Tl 0.000 0.500 0.000
Tl 0.254 0.254 0.500
Tl 0.254 0.746 0.500
Tl 0.500 0.000 0.000
Tl 0.746 0.254 0.500
Tl 0.746 0.746 0.500
In 0.500 0.500 0.000

## Pu2TlIn (PBE)

Data for a geometry-optimized Pu2TlIn structure.

Computed properties:
The relative energy among the computed polymorphs is 0.000 eV per atom.

Cell lengths 5.910, 5.910, 3.213 Å; angles 90.00, 90.00, 112.31 degrees
Atoms (fractional coordinates):
Pu 0.000 0.500 0.000
Pu 0.500 0.000 0.000
Tl 0.000 0.000 0.500
In 0.500 0.500 0.500

## Pu3TlIn2 (PBE)

Data for a geometry-optimized Pu3TlIn2 structure.

Computed properties:
The final energy is -51.6 eV/f.u.

Cell lengths 3.229, 3.229, 14.798 Å; angles 90.00, 90.00, 90.00 degrees
Atoms (fractional coordinates):
Pu 0.000 0.000 0.000
Pu 0.000 0.000 0.332
Pu 0.000 0.000 0.668
Tl 0.500 0.500 0.500
In 0.500 0.500 0.167
In 0.500 0.500 0.833

## YPuTlIn (PBE)

Data for a geometry-optimized YPuTlIn structure.

Computed properties:
The final energy is -26.8 eV/f.u.

Cell lengths 5.379, 5.379, 5.379 Å; angles 60.00, 60.00, 60.00 degrees
Atoms (fractional coordinates):
Y 0.000 0.000 0.000
Pu 0.500 0.500 0.500
Tl 0.750 0.750 0.750
In 0.250 0.250 0.250

## PuTlZnIn (PBE)

Data for a geometry-optimized PuTlZnIn structure.

Computed properties:
The final energy is -20.7 eV/f.u.

Cell lengths 5.161, 5.161, 5.161 Å; angles 60.00, 60.00, 60.00 degrees
Atoms (fractional coordinates):
Pu 0.000 0.000 0.000
Tl 0.750 0.750 0.750
Zn 0.250 0.250 0.250
In 0.500 0.500 0.500

## Tm6PuIn5 (PBE)

Data for a geometry-optimized Tm6PuIn5 structure.

Computed properties:
The final energy is -58.9 eV/f.u.

Cell lengths 8.393, 8.393, 7.531 Å; angles 90.00, 90.00, 143.54 degrees
Atoms (fractional coordinates):
Tm 0.000 0.000 0.235
Tm 0.000 0.000 0.765
Tm 0.332 0.668 0.257
Tm 0.332 0.668 0.743
Tm 0.668 0.332 0.257
Tm 0.668 0.332 0.743
Pu 0.500 0.500 0.500
In 0.153 0.847 0.500
In 0.171 0.829 0.000
In 0.500 0.500 0.000
In 0.829 0.171 0.000
In 0.847 0.153 0.500

## Tm2PuIn9 (PBE)

Data for a geometry-optimized Tm2PuIn9 structure.

Computed properties:
The final energy is -51.8 eV/f.u.

Cell lengths 4.626, 4.626, 13.881 Å; angles 90.00, 90.00, 90.00 degrees
Atoms (fractional coordinates):
Tm 0.000 0.000 0.165
Tm 0.000 0.000 0.835
Pu 0.000 0.000 0.500
In 0.000 0.500 0.000
In 0.000 0.500 0.332
In 0.000 0.500 0.668
In 0.500 0.000 0.000
In 0.500 0.000 0.332
In 0.500 0.000 0.668
In 0.500 0.500 0.167
In 0.500 0.500 0.500
In 0.500 0.500 0.833

## TmPuIn4 (PBE)

Data for a geometry-optimized TmPuIn4 structure.

Computed properties:
The relative energy among the computed polymorphs is 0.000 eV per atom.

Cell lengths 3.389, 5.056, 8.859 Å; angles 90.00, 90.02, 90.00 degrees
Atoms (fractional coordinates):
Tm 0.000 0.000 0.000
Pu 0.000 0.500 0.500
In 0.498 0.500 0.164
In 0.499 0.000 0.669
In 0.501 0.000 0.331
In 0.502 0.500 0.836

## Tm5PuIn6 (PBE)

Data for a geometry-optimized Tm5PuIn6 structure.

Computed properties:
The final energy is -57.6 eV/f.u.

Cell lengths 9.157, 9.157, 9.157 Å; angles 146.37, 132.46, 59.49 degrees
Atoms (fractional coordinates):
Tm 0.000 0.000 0.000
Tm 0.169 0.669 0.500
Tm 0.339 0.339 0.000
Tm 0.661 0.661 0.000
Tm 0.831 0.331 0.500
Pu 0.500 0.000 0.500
In 0.074 0.830 0.244
In 0.237 0.500 0.737
In 0.414 0.170 0.244
In 0.586 0.830 0.756
In 0.763 0.500 0.263
In 0.926 0.170 0.756

## Tm3PuIn4 (PBE)

Data for a geometry-optimized Tm3PuIn4 structure.

Computed properties:
The final energy is -41.4 eV/f.u.

Cell lengths 10.692, 7.099, 5.481 Å; angles 90.00, 90.00, 90.00 degrees
Atoms (fractional coordinates):
Tm 0.000 0.000 0.000
Tm 0.250 0.000 0.409
Tm 0.250 0.500 0.406
Tm 0.500 0.000 0.000
Tm 0.750 0.000 0.591
Tm 0.750 0.500 0.594
Pu 0.000 0.500 0.000
Pu 0.500 0.500 0.000
In 0.000 0.243 0.500
In 0.000 0.757 0.500
In 0.250 0.243 0.902
In 0.250 0.757 0.902
In 0.500 0.243 0.500
In 0.500 0.757 0.500
In 0.750 0.243 0.098
In 0.750 0.757 0.098

## Tm4PuIn5 (PBE)

Data for a geometry-optimized Tm4PuIn5 structure.

Computed properties:
The final energy is -49.6 eV/f.u.

Cell lengths 3.395, 3.395, 22.284 Å; angles 90.00, 90.00, 90.00 degrees
Atoms (fractional coordinates):
Tm 0.000 0.000 0.098
Tm 0.000 0.000 0.295
Tm 0.000 0.000 0.705
Tm 0.000 0.000 0.902
Pu 0.000 0.000 0.500
In 0.500 0.500 0.000
In 0.500 0.500 0.197
In 0.500 0.500 0.395
In 0.500 0.500 0.605
In 0.500 0.500 0.803

## TmPuIn4 (PBE)

Data for a geometry-optimized TmPuIn4 structure.

Computed properties:
The relative energy among the computed polymorphs is 0.091 eV per atom.

Cell lengths 6.011, 6.011, 6.011 Å; angles 60.00, 60.00, 60.00 degrees
Atoms (fractional coordinates):
Tm 0.000 0.000 0.000
Pu 0.250 0.250 0.250
In 0.125 0.625 0.625
In 0.625 0.125 0.625
In 0.625 0.625 0.125
In 0.625 0.625 0.625

## Tm2Pu2In3 (PBE)

Data for a geometry-optimized Tm2Pu2In3 structure.

Computed properties:
The final energy is -47.3 eV/f.u.

Cell lengths 11.659, 11.659, 3.308 Å; angles 90.00, 90.00, 156.52 degrees
Atoms (fractional coordinates):
Tm 0.073 0.927 0.000
Tm 0.927 0.073 0.000
Pu 0.213 0.787 0.000
Pu 0.787 0.213 0.000
In 0.355 0.645 0.500
In 0.500 0.500 0.500
In 0.645 0.355 0.500

## Tm5PuIn3 (PBE)

Data for a geometry-optimized Tm5PuIn3 structure.

Computed properties:
The final energy is -47.8 eV/f.u.

Cell lengths 9.209, 9.209, 6.583 Å; angles 90.00, 90.00, 120.00 degrees
Atoms (fractional coordinates):
Tm 0.000 0.318 0.250
Tm 0.000 0.682 0.750
Tm 0.318 0.000 0.250
Tm 0.318 0.318 0.750
Tm 0.333 0.667 0.000
Tm 0.333 0.667 0.500
Tm 0.667 0.333 0.000
Tm 0.667 0.333 0.500
Tm 0.682 0.000 0.750
Tm 0.682 0.682 0.250
Pu 0.000 0.000 0.000
Pu 0.000 0.000 0.500
In 0.000 0.348 0.750
In 0.000 0.652 0.250
In 0.348 0.000 0.750
In 0.348 0.348 0.250
In 0.652 0.000 0.250
In 0.652 0.652 0.750

## Tm7PuIn4 (PBE)

Data for a geometry-optimized Tm7PuIn4 structure.

Computed properties:
The final energy is -57.2 eV/f.u.

Cell lengths 7.821, 7.821, 9.490 Å; angles 118.23, 118.23, 42.13 degrees
Atoms (fractional coordinates):
Tm 0.000 0.000 0.000
Tm 0.255 0.255 0.717
Tm 0.303 0.303 0.123
Tm 0.425 0.425 0.585
Tm 0.575 0.575 0.415
Tm 0.697 0.697 0.877
Tm 0.745 0.745 0.283
Pu 0.500 0.500 0.000
In 0.048 0.048 0.706
In 0.179 0.179 0.344
In 0.821 0.821 0.656
In 0.952 0.952 0.294

## Tm2PuIn3 (PBE)

Data for a geometry-optimized Tm2PuIn3 structure.

Computed properties:
The final energy is -33.5 eV/f.u.

Cell lengths 3.365, 3.365, 13.643 Å; angles 90.00, 90.00, 90.00 degrees
Atoms (fractional coordinates):
Tm 0.000 0.000 0.162
Tm 0.000 0.000 0.838
Pu 0.000 0.000 0.500
In 0.500 0.500 0.000
In 0.500 0.500 0.327
In 0.500 0.500 0.673

## TmPu2In9 (PBE)

Data for a geometry-optimized TmPu2In9 structure.

Computed properties:
The final energy is -61.1 eV/f.u.

Cell lengths 4.642, 4.642, 13.924 Å; angles 90.00, 90.00, 90.00 degrees
Atoms (fractional coordinates):
Tm 0.000 0.000 0.000
Pu 0.000 0.000 0.331
Pu 0.000 0.000 0.669
In 0.000 0.500 0.165
In 0.000 0.500 0.500
In 0.000 0.500 0.835
In 0.500 0.000 0.165
In 0.500 0.000 0.500
In 0.500 0.000 0.835
In 0.500 0.500 0.000
In 0.500 0.500 0.334
In 0.500 0.500 0.666